# 1
Entry from Alexandria via LeMat-Bulk: CeY2Te after structural relaxation (PBE).

Output
Its formation energy from raw total energies is -0.200 eV/atom.

```
data_CeY2Te
_cell_length_a 10.912
_cell_length_b 10.912
_cell_length_c 10.912
_cell_angle_alpha 20.19
_cell_angle_beta 20.19
_cell_angle_gamma 20.19
_space_group_name_H-M_alt 'P 1'
_space_group_IT_number 1
loop_
_space_group_symop_operation_xyz
'x,y,z'
loop_
_atom_site_label
_atom_site_type_symbol
_atom_site_fract_x
_atom_site_fract_y
_atom_site_fract_z
_atom_site_occupancy
Ce1 Ce 0.000 0.000 0.000 1
Y1 Y 0.102 0.102 0.102 1
Y2 Y 0.898 0.898 0.898 1
Te1 Te 0.500 0.500 0.500 1
```

# 2
Entry from Alexandria via LeMat-Bulk: SrScHSe2 after structural relaxation (PBE).

Output
The raw total energy comes out at -5.106 eV per atom.

```
data_SrScHSe2
_cell_length_a 5.275
_cell_length_b 5.275
_cell_length_c 4.027
_cell_angle_alpha 90.00
_cell_angle_beta 90.00
_cell_angle_gamma 90.00
_space_group_name_H-M_alt 'P 1'
_space_group_IT_number 1
loop_
_space_group_symop_operation_xyz
'x,y,z'
loop_
_atom_site_label
_atom_site_type_symbol
_atom_site_fract_x
_atom_site_fract_y
_atom_site_fract_z
_atom_site_occupancy
Sr1 Sr 0.000 0.000 0.000 1
Sc1 Sc 0.500 0.500 0.500 1
H1 H 0.500 0.500 0.000 1
Se1 Se 0.000 0.500 0.500 1
Se2 Se 0.500 0.000 0.500 1
```

# 3
Entry from Alexandria via LeMat-Bulk: La2TbPmSe4 after structural relaxation (PBE).

Output
Its formation energy from raw total energies is -1.904 eV/atom.

```
data_La2TbPmSe4
_cell_length_a 7.331
_cell_length_b 4.188
_cell_length_c 7.372
_cell_angle_alpha 90.00
_cell_angle_beta 109.00
_cell_angle_gamma 90.00
_space_group_name_H-M_alt 'P 1'
_space_group_IT_number 1
loop_
_space_group_symop_operation_xyz
'x,y,z'
loop_
_atom_site_label
_atom_site_type_symbol
_atom_site_fract_x
_atom_site_fract_y
_atom_site_fract_z
_atom_site_occupancy
La1 La 0.000 0.000 0.000 1
La2 La 0.500 0.500 0.000 1
Tb1 Tb 0.000 0.500 0.500 1
Pm1 Pm 0.500 0.000 0.500 1
Se1 Se 0.241 0.000 0.736 1
Se2 Se 0.249 0.500 0.261 1
Se3 Se 0.751 0.500 0.739 1
Se4 Se 0.759 0.000 0.264 1
```

# 4
Entry from Alexandria via LeMat-Bulk: CaRuI2 after structural relaxation (PBE).

Output
Its formation energy from raw total energies is -0.031 eV/atom.

```
data_CaRuI2
_cell_length_a 8.922
_cell_length_b 8.922
_cell_length_c 8.922
_cell_angle_alpha 142.75
_cell_angle_beta 142.75
_cell_angle_gamma 53.70
_space_group_name_H-M_alt 'P 1'
_space_group_IT_number 1
loop_
_space_group_symop_operation_xyz
'x,y,z'
loop_
_atom_site_label
_atom_site_type_symbol
_atom_site_fract_x
_atom_site_fract_y
_atom_site_fract_z
_atom_site_occupancy
Ca1 Ca 0.000 0.000 0.000 1
Ca2 Ca 0.750 0.250 0.500 1
Ru1 Ru 0.250 0.750 0.500 1
Ru2 Ru 0.500 0.500 0.000 1
I1 I 0.185 0.625 0.060 1
I2 I 0.375 0.435 0.560 1
I3 I 0.565 0.125 0.940 1
I4 I 0.875 0.815 0.440 1
```

# 5
Entry from Alexandria via LeMat-Bulk: KPb4Au2 after structural relaxation (PBE).

Output
The calculation puts the formation enthalpy at 0 K at 547.9 meV/atom.

```
data_KPb4Au2
_cell_length_a 8.492
_cell_length_b 8.492
_cell_length_c 8.492
_cell_angle_alpha 139.12
_cell_angle_beta 139.12
_cell_angle_gamma 59.19
_space_group_name_H-M_alt 'P 1'
_space_group_IT_number 1
loop_
_space_group_symop_operation_xyz
'x,y,z'
loop_
_atom_site_label
_atom_site_type_symbol
_atom_site_fract_x
_atom_site_fract_y
_atom_site_fract_z
_atom_site_occupancy
K1 K 0.000 0.000 0.000 1
Pb1 Pb 0.000 0.500 0.500 1
Pb2 Pb 0.226 0.226 0.000 1
Pb3 Pb 0.500 0.000 0.500 1
Pb4 Pb 0.774 0.774 0.000 1
Au1 Au 0.408 0.408 0.000 1
Au2 Au 0.592 0.592 0.000 1
```

# 6
Entry from Alexandria via LeMat-Bulk: Ho3AgHg3 after structural relaxation (PBE).

Output
The calculation puts the formation enthalpy at 0 K at -268.5 meV/atom.

```
data_Ho3AgHg3
_cell_length_a 7.082
_cell_length_b 7.082
_cell_length_c 7.292
_cell_angle_alpha 90.04
_cell_angle_beta 90.04
_cell_angle_gamma 89.10
_space_group_name_H-M_alt 'P 1'
_space_group_IT_number 1
loop_
_space_group_symop_operation_xyz
'x,y,z'
loop_
_atom_site_label
_atom_site_type_symbol
_atom_site_fract_x
_atom_site_fract_y
_atom_site_fract_z
_atom_site_occupancy
Ho1 Ho 0.001 0.001 0.245 1
Ho2 Ho 0.002 0.498 0.757 1
Ho3 Ho 0.498 0.002 0.757 1
Ho4 Ho 0.502 0.998 0.243 1
Ho5 Ho 0.998 0.502 0.243 1
Ho6 Ho 0.999 0.999 0.755 1
Ag1 Ag 0.246 0.246 0.004 1
Ag2 Ag 0.754 0.754 0.996 1
Hg1 Hg 0.264 0.736 0.500 1
Hg2 Hg 0.277 0.277 0.495 1
Hg3 Hg 0.329 0.671 0.000 1
Hg4 Hg 0.671 0.329 0.000 1
Hg5 Hg 0.723 0.723 0.505 1
Hg6 Hg 0.736 0.264 0.500 1
```

# 7
Entry from Alexandria via LeMat-Bulk: Tl2IrCl after structural relaxation (PBE).

Output
Its formation energy from raw total energies is 0.133 eV/atom.

```
data_Tl2IrCl
_cell_length_a 3.826
_cell_length_b 3.826
_cell_length_c 7.522
_cell_angle_alpha 90.00
_cell_angle_beta 90.00
_cell_angle_gamma 90.00
_space_group_name_H-M_alt 'P 1'
_space_group_IT_number 1
loop_
_space_group_symop_operation_xyz
'x,y,z'
loop_
_atom_site_label
_atom_site_type_symbol
_atom_site_fract_x
_atom_site_fract_y
_atom_site_fract_z
_atom_site_occupancy
Tl1 Tl 0.000 0.000 0.000 1
Tl2 Tl 0.500 0.500 0.402 1
Ir1 Ir 0.500 0.500 0.041 1
Cl1 Cl 0.000 0.000 0.585 1
```

# 8
Entry from Alexandria via LeMat-Bulk: TaAsRh2 after structural relaxation (PBE).

Output
The calculation puts the formation enthalpy at 0 K at -185.6 meV/atom.

```
data_TaAsRh2
_cell_length_a 4.440
_cell_length_b 4.440
_cell_length_c 4.440
_cell_angle_alpha 60.00
_cell_angle_beta 60.00
_cell_angle_gamma 60.00
_space_group_name_H-M_alt 'P 1'
_space_group_IT_number 1
loop_
_space_group_symop_operation_xyz
'x,y,z'
loop_
_atom_site_label
_atom_site_type_symbol
_atom_site_fract_x
_atom_site_fract_y
_atom_site_fract_z
_atom_site_occupancy
Ta1 Ta 0.000 0.000 0.000 1
As1 As 0.250 0.250 0.250 1
Rh1 Rh 0.500 0.500 0.500 1
Rh2 Rh 0.750 0.750 0.750 1
```

# 9
Entry from Alexandria via LeMat-Bulk: Pm5YGa2 after structural relaxation (PBE).

Output
The calculation puts the formation enthalpy at 0 K at -154.2 meV/atom.

```
data_Pm5YGa2
_cell_length_a 7.674
_cell_length_b 7.674
_cell_length_c 7.674
_cell_angle_alpha 146.55
_cell_angle_beta 100.60
_cell_angle_gamma 88.95
_space_group_name_H-M_alt 'P 1'
_space_group_IT_number 1
loop_
_space_group_symop_operation_xyz
'x,y,z'
loop_
_atom_site_label
_atom_site_type_symbol
_atom_site_fract_x
_atom_site_fract_y
_atom_site_fract_z
_atom_site_occupancy
Pm1 Pm 0.000 0.000 0.000 1
Pm2 Pm 0.042 0.346 0.696 1
Pm3 Pm 0.350 0.654 0.696 1
Pm4 Pm 0.650 0.346 0.304 1
Pm5 Pm 0.958 0.654 0.304 1
Y1 Y 0.500 0.000 0.500 1
Ga1 Ga 0.289 0.289 0.000 1
Ga2 Ga 0.711 0.711 0.000 1
```

# 10
Entry from Alexandria via LeMat-Bulk: Nd4Sn3 after structural relaxation (PBE).

Output
The calculation puts the formation enthalpy at 0 K at -508.9 meV/atom.

```
data_Nd4Sn3
_cell_length_a 12.501
_cell_length_b 12.501
_cell_length_c 12.501
_cell_angle_alpha 159.69
_cell_angle_beta 159.69
_cell_angle_gamma 28.88
_space_group_name_H-M_alt 'P 1'
_space_group_IT_number 1
loop_
_space_group_symop_operation_xyz
'x,y,z'
loop_
_atom_site_label
_atom_site_type_symbol
_atom_site_fract_x
_atom_site_fract_y
_atom_site_fract_z
_atom_site_occupancy
Nd1 Nd 0.063 0.063 0.000 1
Nd2 Nd 0.320 0.320 0.000 1
Nd3 Nd 0.680 0.680 0.000 1
Nd4 Nd 0.937 0.937 0.000 1
Sn1 Sn 0.187 0.187 0.000 1
Sn2 Sn 0.500 0.500 0.000 1
Sn3 Sn 0.813 0.813 0.000 1
```

# 11
Entry from Alexandria via LeMat-Bulk: Tb3PrNdY after structural relaxation (PBE).

Output
The calculation puts the formation enthalpy at 0 K at 110.8 meV/atom.

```
data_Tb3PrNdY
_cell_length_a 6.349
_cell_length_b 6.349
_cell_length_c 11.963
_cell_angle_alpha 90.00
_cell_angle_beta 90.00
_cell_angle_gamma 123.84
_space_group_name_H-M_alt 'P 1'
_space_group_IT_number 1
loop_
_space_group_symop_operation_xyz
'x,y,z'
loop_
_atom_site_label
_atom_site_type_symbol
_atom_site_fract_x
_atom_site_fract_y
_atom_site_fract_z
_atom_site_occupancy
Tb1 Tb 0.172 0.828 0.000 1
Tb2 Tb 0.172 0.828 0.500 1
Tb3 Tb 0.328 0.672 0.750 1
Tb4 Tb 0.672 0.328 0.250 1
Tb5 Tb 0.828 0.172 0.000 1
Tb6 Tb 0.828 0.172 0.500 1
Pr1 Pr 0.500 0.500 0.000 1
Pr2 Pr 0.500 0.500 0.500 1
Nd1 Nd 0.000 0.000 0.250 1
Nd2 Nd 0.000 0.000 0.750 1
Y1 Y 0.328 0.672 0.250 1
Y2 Y 0.672 0.328 0.750 1
```

# 12
Entry from Alexandria via LeMat-Bulk: PmPd2O4 after structural relaxation (PBE).

Output
Its formation energy from raw total energies is -1.362 eV/atom.

```
data_PmPd2O4
_cell_length_a 7.691
_cell_length_b 6.720
_cell_length_c 5.957
_cell_angle_alpha 74.43
_cell_angle_beta 57.32
_cell_angle_gamma 48.25
_space_group_name_H-M_alt 'P 1'
_space_group_IT_number 1
loop_
_space_group_symop_operation_xyz
'x,y,z'
loop_
_atom_site_label
_atom_site_type_symbol
_atom_site_fract_x
_atom_site_fract_y
_atom_site_fract_z
_atom_site_occupancy
Pm1 Pm 0.125 0.125 0.125 1
Pm2 Pm 0.875 0.875 0.875 1
Pd1 Pd 0.000 0.500 0.500 1
Pd2 Pd 0.500 0.000 0.500 1
Pd3 Pd 0.500 0.500 0.000 1
Pd4 Pd 0.500 0.500 0.500 1
O1 O 0.158 0.365 0.743 1
O2 O 0.234 0.743 0.365 1
O3 O 0.257 0.766 0.842 1
O4 O 0.365 0.158 0.234 1
O5 O 0.635 0.842 0.766 1
O6 O 0.743 0.234 0.158 1
O7 O 0.766 0.257 0.635 1
O8 O 0.842 0.635 0.257 1
```

Q: Which formula does entry 4 have?
A: CaRuI2

Q: Number 12 is which compound?
A: PmPd2O4